#A
Here is a crystal of Cu2MoBr relaxed with PBEsol from the Alexandria database. Energies are from SCAN.

Output
- space-group type = P4/mmm, No. 123

a b c (Å): 3.721 3.721 4.182
angles (deg): 90.00 90.00 90.00
Element x y z (fractional)
Cu: 0.000 0.500 0.000
Cu: 0.500 0.000 0.000
Mo: 0.000 0.000 0.500
Br: 0.500 0.500 0.500


#B
Here is a crystal of Cu2MoBr relaxed with PBEsol from the Alexandria database. Energies are from SCAN.

Output
- space-group type = Fm-3m, No. 225

a b c (Å): 4.450 4.450 4.450
angles (deg): 60.00 60.00 60.00
Element x y z (fractional)
Cu: 0.250 0.250 0.250
Cu: 0.750 0.750 0.750
Mo: 0.000 0.000 0.000
Br: 0.500 0.500 0.500


Stability check: which of them is most stable? #A.


#A
Here is a crystal of Cu2MoBr relaxed with PBEsol from the Alexandria database. Energies are from SCAN.

Output
- space-group type = R-3m, No. 166

a b c (Å): 8.633 8.633 8.633
angles (deg): 19.19 19.19 19.19
Element x y z (fractional)
Cu: 0.248 0.248 0.248
Cu: 0.752 0.752 0.752
Mo: 0.500 0.500 0.500
Br: 0.000 0.000 0.000


#B
Here is a crystal of Cu2MoBr relaxed with PBEsol from the Alexandria database. Energies are from SCAN.

Output
- space-group type = Cmmm, No. 65

a b c (Å): 4.904 4.904 2.821
angles (deg): 90.00 90.00 119.38
Element x y z (fractional)
Cu: 0.000 0.500 0.000
Cu: 0.500 0.000 0.000
Mo: 0.000 0.000 0.500
Br: 0.500 0.500 0.500


Stability check: which of them is most stable? #A.


#A
Here is a crystal of CuP4S3Br relaxed with PBEsol from the Alexandria database. Energies are from SCAN.

Output
- space-group type = P-1, No. 2

a b c (Å): 6.254 9.138 15.625
angles (deg): 98.58 98.10 106.14
Element x y z (fractional)
Cu: 0.004 0.388 0.206
Cu: 0.361 0.158 0.083
Cu: 0.639 0.842 0.917
Cu: 0.996 0.612 0.794
P: 0.015 0.387 0.824
P: 0.122 0.689 0.678
P: 0.137 0.860 0.508
P: 0.143 0.060 0.808
P: 0.152 0.949 0.122
P: 0.198 0.183 0.951
P: 0.353 0.612 0.596
P: 0.474 0.847 0.689
P: 0.526 0.153 0.311
P: 0.647 0.388 0.404
P: 0.802 0.817 0.049
P: 0.848 0.051 0.878
P: 0.857 0.940 0.192
P: 0.863 0.140 0.492
P: 0.878 0.311 0.322
P: 0.985 0.613 0.176
S: 0.083 0.228 0.408
S: 0.141 0.242 0.740
S: 0.225 0.414 0.947
S: 0.249 0.664 0.474
S: 0.284 0.777 0.160
S: 0.418 0.999 0.606
S: 0.582 0.001 0.394
S: 0.716 0.223 0.840
S: 0.751 0.336 0.526
S: 0.775 0.586 0.053
S: 0.859 0.758 0.260
S: 0.917 0.772 0.592
Br: 0.243 0.807 0.919
Br: 0.381 0.384 0.192
Br: 0.619 0.616 0.808
Br: 0.757 0.193 0.081


#B
Here is a crystal of CuP4S3Br relaxed with PBEsol from the Alexandria database. Energies are from SCAN.

Output
- space-group type = Cmce, No. 64

a b c (Å): 11.534 11.534 10.046
angles (deg): 90.00 90.00 141.90
Element x y z (fractional)
Cu: 0.186 0.186 0.000
Cu: 0.314 0.314 0.500
Cu: 0.686 0.686 0.500
Cu: 0.814 0.814 0.000
P: 0.066 0.230 0.456
P: 0.119 0.881 0.723
P: 0.218 0.782 0.471
P: 0.230 0.066 0.544
P: 0.270 0.434 0.044
P: 0.282 0.718 0.971
P: 0.381 0.619 0.223
P: 0.434 0.270 0.956
P: 0.566 0.730 0.044
P: 0.619 0.381 0.777
P: 0.718 0.282 0.029
P: 0.730 0.566 0.956
P: 0.770 0.934 0.456
P: 0.782 0.218 0.529
P: 0.881 0.119 0.277
P: 0.934 0.770 0.544
S: 0.056 0.373 0.569
S: 0.127 0.444 0.931
S: 0.213 0.787 0.682
S: 0.287 0.713 0.182
S: 0.373 0.056 0.431
S: 0.444 0.127 0.069
S: 0.556 0.873 0.931
S: 0.627 0.944 0.569
S: 0.713 0.287 0.818
S: 0.787 0.213 0.318
S: 0.873 0.556 0.069
S: 0.944 0.627 0.431
Br: 0.028 0.972 0.189
Br: 0.472 0.528 0.689
Br: 0.528 0.472 0.311
Br: 0.972 0.028 0.811


Stability check: which of them is most stable? #A.


#A
Here is a crystal of Cu2PbBr relaxed with PBEsol from the Alexandria database. Energies are from SCAN.

Output
- space-group type = Pm, No. 6

a b c (Å): 3.453 3.810 6.605
angles (deg): 90.00 90.11 90.00
Element x y z (fractional)
Cu: 0.000 0.000 0.000
Cu: 0.000 0.500 0.218
Pb: 0.501 0.000 0.382
Br: 0.000 0.500 0.782


#B
Here is a crystal of Cu2PbBr relaxed with PBEsol from the Alexandria database. Energies are from SCAN.

Output
- space-group type = P4/mmm, No. 123

a b c (Å): 4.853 4.853 3.204
angles (deg): 90.00 90.00 90.00
Element x y z (fractional)
Cu: 0.000 0.500 0.000
Cu: 0.500 0.000 0.000
Pb: 0.000 0.000 0.500
Br: 0.500 0.500 0.500


Stability check: which of them is most stable? #A.


#A
Here is a crystal of Cu2PtBr relaxed with PBEsol from the Alexandria database. Energies are from SCAN.

Output
- space-group type = R-3m, No. 166

a b c (Å): 7.466 7.466 7.466
angles (deg): 24.37 24.37 24.37
Element x y z (fractional)
Cu: 0.248 0.248 0.248
Cu: 0.752 0.752 0.752
Pt: 0.500 0.500 0.500
Br: 0.000 0.000 0.000


#B
Here is a crystal of Cu2PtBr relaxed with PBEsol from the Alexandria database. Energies are from SCAN.

Output
- space-group type = Pmmm, No. 47

a b c (Å): 2.958 4.178 5.137
angles (deg): 90.00 90.00 90.00
Element x y z (fractional)
Cu: 0.000 0.000 0.000
Cu: 0.500 0.500 0.500
Pt: 0.000 0.000 0.500
Br: 0.500 0.500 0.000


#C
Here is a crystal of Cu2PtBr relaxed with PBEsol from the Alexandria database. Energies are from SCAN.

Output
- space-group type = R3m, No. 160

a b c (Å): 9.305 9.305 9.305
angles (deg): 17.24 17.24 17.24
Element x y z (fractional)
Cu: 0.000 0.000 0.000
Cu: 0.265 0.265 0.265
Pt: 0.524 0.524 0.524
Br: 0.746 0.746 0.746


#D
Here is a crystal of Cu2PtBr relaxed with PBEsol from the Alexandria database. Energies are from SCAN.

Output
- space-group type = P4mm, No. 99

a b c (Å): 3.130 3.130 6.208
angles (deg): 90.00 90.00 90.00
Element x y z (fractional)
Cu: 0.000 0.000 0.000
Cu: 0.500 0.500 0.205
Pt: 0.000 0.000 0.413
Br: 0.500 0.500 0.754


Stability check: which of them is most stable? #A.


#A
Here is a crystal of CuPt2Br relaxed with PBEsol from the Alexandria database. Energies are from SCAN.

Output
- space-group type = C2/m, No. 12

a b c (Å): 5.346 5.346 3.027
angles (deg): 106.12 106.12 119.05
Element x y z (fractional)
Cu: 0.000 0.000 0.000
Pt: 0.000 0.500 0.500
Pt: 0.500 0.000 0.500
Br: 0.500 0.500 0.000


#B
Here is a crystal of CuPt2Br relaxed with PBEsol from the Alexandria database. Energies are from SCAN.

Output
- space-group type = Imm2, No. 44

a b c (Å): 5.423 5.423 5.423
angles (deg): 149.30 129.56 60.22
Element x y z (fractional)
Cu: 0.000 0.000 0.000
Pt: 0.237 0.737 0.500
Pt: 0.490 0.490 0.000
Br: 0.743 0.243 0.500


Stability check: which of them is most stable? #A.